(1)
Compound: Ac4Tc
Source: the Alexandria database
Functional: PBE
Structure: relaxed

POSCAR file:
```
Ac4Tc
1.0
5.838 0.000 0.000
0.000 5.838 0.000
0.000 0.000 5.838
Ac Tc
4 1
Direct
0.000 0.000 0.000 Ac
0.000 0.500 0.500 Ac
0.500 0.000 0.500 Ac
0.500 0.500 0.000 Ac
0.500 0.500 0.500 Tc
```

Computed properties:
For the total energy, the calculation gives -5.2288 eV/atom. The calculation puts the total magnetization at 0.0 Bohr magnetons per cell. Its density of states at the Fermi level is 6.80 states/eV per cell. Its formation energy from the elements is 131 meV per atom. Its space group is Pm-3m, No. 221.

(2)
Compound: Ac4Tc
Source: the Alexandria database
Functional: PBE
Structure: relaxed

POSCAR file:
```
Ac4Tc
1.0
0.000 7.142 4.155
6.959 0.000 4.155
6.959 7.142 0.000
Ac Tc
8 2
Direct
0.041 0.959 0.798 Ac
0.048 0.452 0.291 Ac
0.452 0.048 0.209 Ac
0.459 0.535 0.708 Ac
0.535 0.459 0.297 Ac
0.542 0.953 0.791 Ac
0.953 0.542 0.715 Ac
0.959 0.041 0.202 Ac
0.231 0.231 0.769 Tc
0.481 0.481 0.019 Tc
```

Computed properties:
For the total energy, the calculation gives -5.2733 eV/atom. The calculation puts the total magnetization at 0.0 Bohr magnetons per cell. Its density of states at the Fermi level is 11.80 states/eV per cell. Its formation energy from the elements is 87 meV per atom. Its space group is Fdd2, No. 43.